Material: Na2SiH10O8
Method: DFT, PBE-GGA
State: optimized geometry

a b c (Å): 6.664 7.958 8.617
angles (deg): 108.98 98.92 103.77
Space group P-1 (No. 2)
Asymmetric unit:
Na 0.132 0.321 0.164 [2 per cell]
Na 0.312 0.542 0.646 [2 per cell]
Si 0.471 0.033 0.266 [2 per cell]
H 0.006 0.841 0.209 [2 per cell]
H 0.074 0.774 0.582 [2 per cell]
H 0.138 0.167 0.406 [2 per cell]
H 0.158 0.465 0.889 [2 per cell]
H 0.250 0.195 0.850 [2 per cell]
H 0.282 0.925 0.436 [2 per cell]
H 0.295 0.682 0.985 [2 per cell]
H 0.386 0.687 0.409 [2 per cell]
H 0.428 0.140 0.045 [2 per cell]
H 0.458 0.681 0.242 [2 per cell]
O 0.081 0.273 0.418 [2 per cell]
O 0.129 0.244 0.876 [2 per cell]
O 0.177 0.591 0.884 [2 per cell]
O 0.258 0.977 0.344 [2 per cell]
O 0.326 0.827 0.574 [2 per cell]
O 0.393 0.157 0.158 [2 per cell]
O 0.421 0.602 0.309 [2 per cell]
O 0.488 0.152 0.859 [2 per cell]

Calculated values
- Density: 1.73 g/cm3
- V: 406 Å³ per cell
- Uncorrected energy: -5.307 eV/atom